This record from the Alexandria database describes CrTc2Os after structural relaxation. The functional is PBE.

Computed properties:
- polymorph energy (0 for the lowest one) (eV/atom) = 0.067

Cell lengths 8.9593, 8.9593, 8.9593 Å; angles 17.35, 17.35, 17.35 degrees
Fractional coordinates of all 4 atoms:
Tc 0.5030 0.5030 0.5030
Os 0.7500 0.7500 0.7500
Tc 0.9970 0.9970 0.9970
Cr 0.2500 0.2500 0.2500

---

This record from the Alexandria database describes Cr2TcOs after structural relaxation. The functional is PBE.

Cell lengths 2.6866, 3.7363, 5.2884 Å; angles 90.00, 90.00, 90.00 degrees
Fractional coordinates of all 4 atoms:
Cr 0.5000 0.5000 0.2469
Tc 0.5000 0.5000 0.7634
Cr 0.0000 0.0000 0.0055
Os 0.0000 0.0000 0.4842

---

This record from the Alexandria database describes CrTcOs after structural relaxation. The functional is PBE.

Computed properties:
- polymorph energy (0 for the lowest one) (eV/atom) = 0.441

Cell lengths 4.0310, 4.0310, 4.0310 Å; angles 60.00, 60.00, 60.00 degrees
Fractional coordinates of all 3 atoms:
Os 0.0000 0.0000 0.0000
Tc 0.5000 0.5000 0.5000
Cr 0.7500 0.7500 0.7500

---

This record from the Alexandria database describes CrTcOs2 after structural relaxation. The functional is PBE.

Computed properties:
- polymorph energy (0 for the lowest one) (eV/atom) = 0.013

Cell lengths 4.6661, 4.6661, 4.6661 Å; angles 131.72, 131.72, 70.67 degrees
Fractional coordinates of all 4 atoms:
Os 0.5000 0.5000 0.0000
Os 0.0000 0.0000 0.0000
Cr 0.7500 0.2500 0.5000
Tc 0.2500 0.7500 0.5000

---

no.,formation energy (eV/atom),Fermi-level density of states (states/eV/f.u.),total moment (μB/cell)
1,0.17,5.5,0.00
2,0.16,4.0,0.00
3,0.55,3.3,0.00
4,0.09,5.0,0.00